Record 1
Material: NaPt2I
Method: DFT, PBEsol
State: optimized geometry

Cell lengths 4.692, 4.692, 4.692 Å; angles 60.00, 60.00, 60.00 degrees
Sites, in units of the cell vectors:
Pt1 0.250 0.250 0.250
Pt2 0.750 0.750 0.750
I1 0.500 0.500 0.500
Na1 0.000 0.000 0.000

## Properties
N(E_F) (states/eV per cell): 2.8
Energy (eV/atom): -3.88
Total moment (μB per formula unit): 0.00
Raw formation energy (eV/atom): 0.391

---

Record 2
Material: ScSbRu2
Method: DFT, PBEsol
State: optimized geometry

Cell lengths 3.073, 4.610, 5.061 Å; angles 101.65, 90.00, 109.47 degrees
Sites, in units of the cell vectors:
Ru1 0.248 0.496 0.238
Ru2 0.752 0.504 0.762
Sb1 0.500 0.000 0.000
Sc1 0.000 0.000 0.500

## Properties
N(E_F) (states/eV per cell): 3.1
Energy (eV/atom): -8.06
Total moment (μB per formula unit): 0.00
Raw formation energy (eV/atom): -0.185

---

Record 3
Material: Y2Pd2I
Method: DFT, PBEsol
State: optimized geometry

Cell lengths 3.844, 3.844, 8.681 Å; angles 102.79, 102.79, 90.00 degrees
Sites, in units of the cell vectors:
Y1 0.371 0.371 0.742
Y2 0.629 0.629 0.258
Pd1 0.750 0.250 0.500
Pd2 0.250 0.750 0.500
I1 0.000 0.000 0.000

## Properties
N(E_F) (states/eV per cell): 2.7
Energy (eV/atom): -6.17
Total moment (μB per formula unit): 0.00
Raw formation energy (eV/atom): -0.703

---

Record 4
Material: Li3TlHg
Method: DFT, PBEsol
State: optimized geometry

Cell lengths 4.927, 4.927, 4.927 Å; angles 90.00, 90.00, 90.00 degrees
Sites, in units of the cell vectors:
Li1 0.000 0.000 0.500
Li2 0.500 0.000 0.000
Li3 0.000 0.500 0.000
Tl1 0.500 0.500 0.500
Hg1 0.000 0.000 0.000

## Properties
N(E_F) (states/eV per cell): 2.2
E_form (eV/f.u.): -0.09
Energy (eV/atom): -1.84
Total moment (μB per formula unit): 0.00

---

Record 5
Material: MgScTcSe2
Method: DFT, PBEsol
State: optimized geometry

Cell lengths 4.756, 4.807, 4.807 Å; angles 90.00, 90.00, 90.00 degrees
Sites, in units of the cell vectors:
Mg1 0.500 0.000 0.000
Se1 0.000 0.000 0.500
Se2 0.000 0.500 0.000
Sc1 0.500 0.500 0.500
Tc1 0.000 0.000 0.000

## Properties
N(E_F) (states/eV per cell): 5.5
Energy (eV/atom): -5.28
Total moment (μB per formula unit): 0.01
Raw formation energy (eV/atom): 0.181

---

Record 6
Material: Ba2AlCuF9
Method: DFT, PBEsol
State: optimized geometry

Cell lengths 5.387, 7.292, 9.146 Å; angles 90.00, 90.62, 90.00 degrees
Last column: magnetic moment on the atom in μB.
Sites, in units of the cell vectors:
Ba1 0.759 0.658 0.943  0.00
Ba2 0.241 0.158 0.057  0.00
Ba3 0.750 0.883 0.416  0.00
Ba4 0.250 0.383 0.584  0.00
F1 0.750 0.354 0.528  0.01
F2 0.984 0.547 0.348  0.03
F3 0.016 0.047 0.652  0.03
F4 0.779 0.020 0.949  0.02
F5 0.986 0.195 0.325  0.00
F6 0.503 0.194 0.329  0.00
F7 0.501 0.337 0.832  0.09
F8 0.495 0.046 0.649  0.04
F9 0.014 0.695 0.675  0.00
F10 0.004 0.843 0.171  0.09
F11 0.731 0.385 0.136  0.00
F12 0.221 0.520 0.051  0.02
F13 0.497 0.694 0.671  0.00
F14 0.250 0.854 0.472  0.01
F15 0.996 0.343 0.829  0.09
F16 0.505 0.546 0.351  0.04
F17 0.269 0.885 0.864  0.00
F18 0.499 0.837 0.168  0.09
Al1 0.256 0.863 0.673  0.00
Al2 0.744 0.363 0.327  0.00
Cu1 0.751 0.175 0.768  0.71
Cu2 0.249 0.675 0.232  0.71

## Properties
N(E_F) (states/eV per cell): 5.3
Energy (eV/atom): -5.57
Total moment (μB per formula unit): 1.00
Raw formation energy (eV/atom): -3.262